Entry from Alexandria: a relaxed CsNiSb2Te crystal (PBE).

Unit cell a=5.1297 b=5.1297 c=5.7361 alpha=90.00 beta=90.00 gamma=90.00
With the nearest neighbours (Å) after each atom.
Element x y z (fractional)
Cs 0.0000 0.0000 0.0000  4 Te 3.63, 8 Sb 3.85
Ni 0.5000 0.5000 0.5000  4 Sb 2.56, 2 Te 2.87
Sb 0.0000 0.5000 0.5000  2 Ni 2.56
Sb 0.5000 0.0000 0.5000  2 Ni 2.56
Te 0.5000 0.5000 0.0000  2 Ni 2.87

## Properties
The value obtained for the density of states at the Fermi level is 0.741 states/eV per atom. Its formation energy from raw total energies is -0.0006 eV per atom.

***

Entry from Alexandria: a relaxed Tl2HgBr crystal (PBE).

Unit cell a=3.9788 b=3.9788 c=29.0536 alpha=90.00 beta=90.00 gamma=120.00
With the nearest neighbours (Å) after each atom.
Element x y z (fractional)
Tl 0.0000 0.0000 0.0000  3 Br 3.25, 3 Hg 3.45
Tl 0.0000 0.0000 0.1755  3 Br 3.24, 3 Hg 3.41
Tl 0.3333 0.6667 0.6667  3 Br 3.25, 3 Hg 3.45
Tl 0.3333 0.6667 0.8421  3 Br 3.24, 3 Hg 3.41
Tl 0.6667 0.3333 0.3333  3 Br 3.25, 3 Hg 3.45
Tl 0.6667 0.3333 0.5088  3 Br 3.24, 3 Hg 3.41
Hg 0.0000 0.0000 0.7553  6 Tl 3.41-3.45
Hg 0.3333 0.6667 0.4220  6 Tl 3.41-3.45
Hg 0.6667 0.3333 0.0886  6 Tl 3.41-3.45
Br 0.0000 0.0000 0.5873  6 Tl 3.24-3.25
Br 0.3333 0.6667 0.2540  6 Tl 3.24-3.25
Br 0.6667 0.3333 0.9206  6 Tl 3.24-3.25

## Properties
The calculation puts the energy relative to the lowest polymorph listed for this composition at 60.3 meV per atom. The value obtained for the density of states at the Fermi level is 0.493 states/eV per atom. Its formation energy from raw total energies is -0.3000 eV per atom.